Entry 1:
VASP calculation (PBE) on a relaxed structure of La2Tb5Pr3.

The structure in POSCAR format:
```
La2Tb5Pr3
1.0
8.316 1.347 -3.776
0.125 8.382 -3.876
-1.437 -1.520 11.148
La Tb Pr
4 10 6
Direct
0.768 0.019 0.744 La
0.232 0.981 0.256 La
0.477 0.725 0.744 La
0.523 0.275 0.256 La
0.276 0.526 0.052 Tb
0.724 0.474 0.948 Tb
0.028 0.778 0.557 Tb
0.529 0.279 0.558 Tb
0.972 0.222 0.443 Tb
0.471 0.721 0.442 Tb
0.869 0.615 0.734 Tb
0.131 0.385 0.266 Tb
0.365 0.120 0.734 Tb
0.635 0.880 0.266 Tb
0.227 0.977 0.954 Pr
0.773 0.023 0.046 Pr
0.730 0.482 0.253 Pr
0.270 0.518 0.747 Pr
0.022 0.770 0.253 Pr
0.978 0.230 0.747 Pr
```

Results
- space group = No. 15
- total energy (eV per atom) = -4.566
- crystal system = monoclinic

***

Entry 2:
VASP calculation (PBE) on a relaxed structure of AlTl2As.

The structure in POSCAR format:
```
AlTl2As
1.0
-3.539 0.471 -0.342
-0.171 -2.856 -2.163
-1.225 -4.665 6.255
Tl As Al
2 1 1
Direct
0.000 0.000 0.969 Tl
0.500 0.500 0.287 Tl
0.500 0.500 0.678 As
0.000 0.000 0.566 Al
```

Results
- space group = No. 99
- total energy (eV per atom) = -3.253
- crystal system = tetragonal
- energy relative to the lowest polymorph listed for this composition (eV per atom) = 0.081

***

Entry 3:
VASP calculation (PBE) on a relaxed structure of HoInTe2.

The structure in POSCAR format:
```
HoInTe2
1.0
3.855 0.000 0.000
0.000 3.855 0.000
0.000 0.000 8.001
Te Ho In
2 1 1
Direct
0.000 0.000 0.781 Te
0.000 0.000 0.219 Te
0.500 0.500 0.000 Ho
0.500 0.500 0.500 In
```

Results
- space group = No. 123
- total energy (eV per atom) = -4.176
- crystal system = tetragonal
- energy relative to the elements, uncorrected (eV per atom) = -0.78

***

Entry 4:
VASP calculation (PBE) on a relaxed structure of Pm2HfO5.

The structure in POSCAR format:
```
Pm2HfO5
1.0
5.565 0.000 0.000
-2.782 5.637 -2.428
0.000 -0.048 7.764
Pm Hf O
4 2 10
Direct
0.627 0.290 0.270 Pm
0.338 0.710 0.230 Pm
0.662 0.290 0.770 Pm
0.373 0.710 0.730 Pm
0.000 0.000 0.000 Hf
0.000 0.000 0.500 Hf
0.004 0.336 0.137 O
0.761 0.155 0.467 O
0.395 0.155 0.967 O
0.668 0.664 0.363 O
0.332 0.336 0.637 O
0.165 0.000 0.250 O
0.605 0.845 0.033 O
0.239 0.845 0.533 O
0.996 0.664 0.863 O
0.835 0.000 0.750 O
```

Results
- space group = No. 15
- total energy (eV per atom) = -8.982
- crystal system = monoclinic
- energy relative to the elements, uncorrected (eV per atom) = -3.45

***

Entry 5:
VASP calculation (PBE) on a relaxed structure of CeSmDy2Y5.

The structure in POSCAR format:
```
CeSmDy2Y5
1.0
-5.499 -3.461 5.103
1.405 -7.546 -3.604
6.171 -1.531 5.611
Ce Sm Dy Y
2 2 4 10
Direct
0.000 0.000 0.500 Ce
0.000 0.500 0.000 Ce
0.000 0.500 0.500 Sm
0.000 0.000 0.000 Sm
0.500 0.623 0.123 Dy
0.500 0.123 0.377 Dy
0.500 0.877 0.623 Dy
0.500 0.377 0.877 Dy
0.500 0.500 0.500 Y
0.500 0.000 0.000 Y
0.231 0.199 0.699 Y
0.231 0.801 0.301 Y
0.231 0.301 0.199 Y
0.231 0.699 0.801 Y
0.769 0.199 0.699 Y
0.769 0.699 0.801 Y
0.769 0.801 0.301 Y
0.769 0.301 0.199 Y
```

Results
- space group = No. 127
- total energy (eV per atom) = -5.504
- crystal system = tetragonal

***

Entry 6:
VASP calculation (PBE) on a relaxed structure of CeHfIn.

The structure in POSCAR format:
```
CeHfIn
1.0
-0.173 -3.086 0.669
1.978 0.417 2.432
-6.632 2.619 2.890
Hf Ce In
1 1 1
Direct
0.662 0.662 0.324 Hf
0.331 0.331 0.662 Ce
0.007 0.007 0.014 In
```

Results
- space group = No. 107
- total energy (eV per atom) = -6.325
- crystal system = tetragonal
- energy relative to the lowest polymorph listed for this composition (eV per atom) = 0.009

***

Entry 7:
VASP calculation (PBE) on a relaxed structure of Dy2Er3Tm3.

The structure in POSCAR format:
```
Dy2Er3Tm3
1.0
-3.689 -0.280 -3.288
3.286 -0.759 -3.623
-0.397 -9.253 4.960
Dy Er Tm
2 3 3
Direct
0.750 0.250 0.500 Dy
0.250 0.750 0.500 Dy
0.624 0.624 0.249 Er
0.376 0.376 0.751 Er
0.500 0.000 0.000 Er
0.124 0.124 0.249 Tm
0.000 0.500 0.000 Tm
0.876 0.876 0.751 Tm
```

Results
- space group = No. 71
- total energy (eV per atom) = -4.514
- crystal system = orthorhombic
- energy relative to the lowest polymorph listed for this composition (eV per atom) = 0.000

***

Entry 8:
VASP calculation (PBE) on a relaxed structure of Y5InHg4.

The structure in POSCAR format:
```
Y5InHg4
1.0
3.735 0.000 0.000
0.000 3.735 0.000
0.000 0.000 18.697
Y In Hg
5 1 4
Direct
0.500 0.500 0.104 Y
0.500 0.500 0.301 Y
0.500 0.500 0.500 Y
0.500 0.500 0.699 Y
0.500 0.500 0.896 Y
0.000 0.000 0.000 In
0.000 0.000 0.202 Hg
0.000 0.000 0.400 Hg
0.000 0.000 0.600 Hg
0.000 0.000 0.798 Hg
```

Results
- space group = No. 123
- total energy (eV per atom) = -4.137
- crystal system = tetragonal